An optimized crystal structure of Zn2TcHg, computed with PBE.

Lattice parameters (Å, degrees): 4.513 4.513 4.513 60.00 60.00 60.00
Element x y z (fractional)
Hg 0.500 0.500 0.500
Tc 0.750 0.750 0.750
Zn 0.000 0.000 0.000
Zn 0.250 0.250 0.250

Values from the calculation:
D(E_F)	5.06	states/eV/cell
energy	-2.84	eV/atom
ΔH_f (0 K)	177	kJ/mol of formula units

An optimized crystal structure of ZrZnTcHg2, computed with PBE.

Lattice parameters (Å, degrees): 5.326 4.752 5.326 90.00 90.00 90.00
Element x y z (fractional)
Zn 0.500 0.500 0.500
Hg 0.000 0.000 0.500
Hg 0.500 0.000 0.000
Zr 0.000 0.500 0.000
Tc 0.000 0.000 0.000

Values from the calculation:
D(E_F)	1.66	states/eV/cell
energy	-3.51	eV/atom
ΔH_f (0 K)	313	kJ/mol of formula units

An optimized crystal structure of Zr2TcHg, computed with PBE.

Lattice parameters (Å, degrees): 4.198 4.198 10.218 78.15 78.15 90.00
Site moments in Bohr magnetons follow the coordinates.
Element x y z (fractional)
Hg 0.000 0.000 0.000  -0.01
Hg 0.750 0.250 0.500  -0.01
Zr 0.612 0.125 0.250  -0.05
Zr 0.138 0.625 0.250  -0.05
Zr 0.375 0.388 0.750  -0.04
Zr 0.875 0.862 0.750  -0.05
Tc 0.500 0.500 0.000  0.72
Tc 0.250 0.750 0.500  0.73

Values from the calculation:
D(E_F)	6.72	states/eV/cell
energy	-6.37	eV/atom
ΔH_f (0 K)	219	kJ/mol of formula units

An optimized crystal structure of ZrTc2Hg, computed with PBE.

Lattice parameters (Å, degrees): 4.648 4.648 4.648 60.00 60.00 60.00
Element x y z (fractional)
Hg 0.500 0.500 0.500
Tc 0.000 0.000 0.000
Tc 0.250 0.250 0.250
Zr 0.750 0.750 0.750

Values from the calculation:
D(E_F)	4.61	states/eV/cell
energy	-7.10	eV/atom
ΔH_f (0 K)	114	kJ/mol of formula units

An optimized crystal structure of Zr3TcHg, computed with PBE.

Lattice parameters (Å, degrees): 5.155 5.155 5.155 90.00 90.00 90.00
Element x y z (fractional)
Hg 0.000 0.000 0.000
Zr 0.000 0.500 0.000
Zr 0.000 0.000 0.500
Zr 0.500 0.000 0.000
Tc 0.500 0.500 0.500

Values from the calculation:
D(E_F)	7.19	states/eV/cell
energy	-5.69	eV/atom
ΔH_f (0 K)	758	kJ/mol of formula units

An optimized crystal structure of Zr2TcHg, computed with PBE.

Lattice parameters (Å, degrees): 3.495 3.495 6.476 90.00 90.00 90.00
Element x y z (fractional)
Hg 0.000 0.000 0.510
Tc 0.500 0.500 0.767
Zr 0.000 0.000 0.972
Zr 0.500 0.500 0.251

Values from the calculation:
D(E_F)	4.41	states/eV/cell
energy	-6.95	eV/atom
ΔH_f (0 K)	-3	kJ/mol of formula units

An optimized crystal structure of ZrTc2Hg, computed with PBE.

Lattice parameters (Å, degrees): 3.931 3.043 6.691 63.10 90.00 90.00
Element x y z (fractional)
Hg 0.500 0.741 0.760
Tc 0.000 0.963 0.038
Tc 0.500 0.270 0.229
Zr 0.000 0.526 0.474

Values from the calculation:
D(E_F)	3.11	states/eV/cell
energy	-7.31	eV/atom
ΔH_f (0 K)	34	kJ/mol of formula units

An optimized crystal structure of Zr4TcHg3, computed with PBE.

Lattice parameters (Å, degrees): 3.313 3.313 15.288 90.00 90.00 90.00
Element x y z (fractional)
Tc 0.500 0.500 0.000
Zr 0.000 0.000 0.897
Zr 0.000 0.000 0.103
Zr 0.000 0.000 0.367
Zr 0.000 0.000 0.633
Hg 0.500 0.500 0.238
Hg 0.500 0.500 0.500
Hg 0.500 0.500 0.762

Values from the calculation:
D(E_F)	7.16	states/eV/cell
energy	-5.92	eV/atom
ΔH_f (0 K)	-184	kJ/mol of formula units

An optimized crystal structure of Zr2TcHg, computed with PBE.

Lattice parameters (Å, degrees): 5.370 5.370 5.370 134.12 134.12 66.89
Element x y z (fractional)
Hg 0.500 0.500 0.000
Tc 0.750 0.250 0.500
Zr 0.000 0.000 0.000
Zr 0.250 0.750 0.500

Values from the calculation:
D(E_F)	5.19	states/eV/cell
energy	-6.94	eV/atom
ΔH_f (0 K)	0	kJ/mol of formula units

An optimized crystal structure of ZrTc2Hg, computed with PBE.

Lattice parameters (Å, degrees): 3.056 3.056 7.789 90.00 90.00 90.01
Element x y z (fractional)
Hg 0.500 0.500 0.768
Tc 0.000 0.000 0.042
Tc 0.500 0.500 0.217
Zr 0.000 0.000 0.473

Values from the calculation:
D(E_F)	3.87	states/eV/cell
energy	-7.38	eV/atom
ΔH_f (0 K)	6	kJ/mol of formula units

An optimized crystal structure of Zr2TcHg, computed with PBE.

Lattice parameters (Å, degrees): 3.329 3.329 7.245 90.00 90.00 90.00
Element x y z (fractional)
Hg 0.500 0.500 0.250
Zr 0.000 0.000 0.968
Zr 0.000 0.000 0.532
Tc 0.500 0.500 0.750

Values from the calculation:
D(E_F)	3.65	states/eV/cell
energy	-7.25	eV/atom
ΔH_f (0 K)	-121	kJ/mol of formula units

An optimized crystal structure of Zr2TcHg, computed with PBE.

Lattice parameters (Å, degrees): 3.040 3.040 9.564 90.00 90.00 112.67
Element x y z (fractional)
Hg 0.000 0.000 0.517
Tc 0.500 0.500 0.762
Zr 0.000 0.000 0.971
Zr 0.500 0.500 0.250

Values from the calculation:
D(E_F)	4.23	states/eV/cell
energy	-6.80	eV/atom
ΔH_f (0 K)	55	kJ/mol of formula units

An optimized crystal structure of ZrTc2Hg, computed with PBE.

Lattice parameters (Å, degrees): 5.048 5.048 5.048 131.93 131.93 70.33
Element x y z (fractional)
Hg 0.750 0.250 0.500
Tc 0.000 0.000 0.000
Tc 0.250 0.750 0.500
Zr 0.500 0.500 0.000

Values from the calculation:
D(E_F)	4.20	states/eV/cell
energy	-7.22	eV/atom
ΔH_f (0 K)	67	kJ/mol of formula units

An optimized crystal structure of Zr2TcHg, computed with PBE.

Lattice parameters (Å, degrees): 5.729 5.729 4.690 65.90 65.90 35.31
Element x y z (fractional)
Hg 0.481 0.481 0.519
Tc 0.739 0.739 0.760
Zr 0.026 0.026 0.974
Zr 0.254 0.254 0.246

Values from the calculation:
D(E_F)	3.60	states/eV/cell
energy	-7.01	eV/atom
ΔH_f (0 K)	-25	kJ/mol of formula units

An optimized crystal structure of ZrTc2Hg, computed with PBE.

Lattice parameters (Å, degrees): 5.408 5.408 5.408 143.66 129.52 63.78
Element x y z (fractional)
Hg 0.250 0.750 0.500
Tc 0.988 0.988 0.000
Tc 0.512 0.512 0.000
Zr 0.750 0.250 0.500

Values from the calculation:
D(E_F)	4.19	states/eV/cell
energy	-7.10	eV/atom
ΔH_f (0 K)	114	kJ/mol of formula units

An optimized crystal structure of Zr6TcHg2, computed with PBE.

Lattice parameters (Å, degrees): 4.864 6.567 8.040 114.11 107.59 90.00
Element x y z (fractional)
Zr 0.152 0.399 0.305
Zr 0.848 0.094 0.695
Zr 0.848 0.601 0.695
Zr 0.500 0.236 0.000
Zr 0.152 0.906 0.305
Zr 0.500 0.764 0.000
Tc 0.000 0.000 0.000
Hg 0.673 0.673 0.345
Hg 0.327 0.327 0.655

Values from the calculation:
D(E_F)	10.92	states/eV/cell
energy	-6.74	eV/atom
ΔH_f (0 K)	150	kJ/mol of formula units

An optimized crystal structure of Zr2Tc4Hg, computed with PBE.

Lattice parameters (Å, degrees): 4.871 4.871 7.515 71.09 71.09 90.00
Site moments in Bohr magnetons follow the coordinates.
Element x y z (fractional)
Hg 0.000 0.000 0.000  0.00
Zr 0.618 0.618 0.763  -0.01
Zr 0.382 0.382 0.237  -0.01
Tc 0.803 0.803 0.395  1.46
Tc 0.197 0.197 0.605  1.46
Tc 0.000 0.500 0.000  -0.38
Tc 0.500 0.000 0.000  -0.38

Values from the calculation:
D(E_F)	9.51	states/eV/cell
energy	-6.80	eV/atom
ΔH_f (0 K)	1084	kJ/mol of formula units

An optimized crystal structure of Zr6TcHg3, computed with PBE.

Lattice parameters (Å, degrees): 7.683 5.924 5.924 57.46 76.49 76.49
Element x y z (fractional)
Zr 0.321 0.108 0.602
Zr 0.679 0.398 0.892
Zr 0.679 0.892 0.398
Zr 0.321 0.602 0.108
Zr 0.087 0.635 0.635
Zr 0.913 0.365 0.365
Tc 0.500 0.500 0.500
Hg 0.316 0.112 0.112
Hg 0.684 0.888 0.888
Hg 0.000 0.000 0.000

Values from the calculation:
D(E_F)	10.78	states/eV/cell
energy	-6.19	eV/atom
ΔH_f (0 K)	60	kJ/mol of formula units

An optimized crystal structure of Zr2TcHg, computed with PBE.

Lattice parameters (Å, degrees): 4.780 4.780 4.780 60.00 60.00 60.00
Element x y z (fractional)
Hg 0.500 0.500 0.500
Tc 0.250 0.250 0.250
Zr 0.000 0.000 0.000
Zr 0.750 0.750 0.750

Values from the calculation:
D(E_F)	6.28	states/eV/cell
energy	-6.85	eV/atom
ΔH_f (0 K)	37	kJ/mol of formula units

An optimized crystal structure of ZrTc2Hg, computed with PBE.

Lattice parameters (Å, degrees): 4.059 4.135 4.135 90.00 90.00 90.00
Element x y z (fractional)
Hg 0.500 0.000 0.500
Tc 0.000 0.000 0.000
Tc 0.000 0.500 0.500
Zr 0.500 0.500 0.000

Values from the calculation:
D(E_F)	3.51	states/eV/cell
energy	-7.26	eV/atom
ΔH_f (0 K)	53	kJ/mol of formula units

An optimized crystal structure of Zr2TcHg, computed with PBE.

Lattice parameters (Å, degrees): 9.500 9.500 9.500 19.50 19.50 19.50
Element x y z (fractional)
Hg 0.494 0.494 0.494
Tc 0.746 0.746 0.746
Zr 0.011 0.011 0.011
Zr 0.250 0.250 0.250

Values from the calculation:
D(E_F)	4.92	states/eV/cell
energy	-6.76	eV/atom
ΔH_f (0 K)	70	kJ/mol of formula units

An optimized crystal structure of ZrTc2Hg, computed with PBE.

Lattice parameters (Å, degrees): 8.978 8.978 8.978 19.91 19.91 19.91
Element x y z (fractional)
Hg 0.750 0.750 0.750
Tc 0.996 0.996 0.996
Tc 0.504 0.504 0.504
Zr 0.250 0.250 0.250

Values from the calculation:
D(E_F)	5.31	states/eV/cell
energy	-6.99	eV/atom
ΔH_f (0 K)	158	kJ/mol of formula units

An optimized crystal structure of ZrTc2Hg, computed with PBE.

Lattice parameters (Å, degrees): 5.121 5.121 5.121 132.85 132.85 68.90
Element x y z (fractional)
Hg 0.750 0.250 0.500
Tc 0.000 0.000 0.000
Tc 0.500 0.500 0.000
Zr 0.250 0.750 0.500

Values from the calculation:
D(E_F)	6.03	states/eV/cell
energy	-7.08	eV/atom
ΔH_f (0 K)	120	kJ/mol of formula units

An optimized crystal structure of ZrTc2Hg, computed with PBE.

Lattice parameters (Å, degrees): 2.893 2.893 9.148 90.00 90.00 110.98
Element x y z (fractional)
Hg 0.500 0.500 0.750
Tc 0.000 0.000 0.011
Tc 0.000 0.000 0.489
Zr 0.500 0.500 0.250

Values from the calculation:
D(E_F)	3.63	states/eV/cell
energy	-7.09	eV/atom
ΔH_f (0 K)	119	kJ/mol of formula units

An optimized crystal structure of Zr3TcHg, computed with PBE.

Lattice parameters (Å, degrees): 5.028 5.028 5.028 90.00 90.00 90.00
Element x y z (fractional)
Hg 0.500 0.500 0.500
Zr 0.000 0.500 0.000
Zr 0.000 0.000 0.500
Zr 0.500 0.000 0.000
Tc 0.000 0.000 0.000

Values from the calculation:
D(E_F)	11.54	states/eV/cell
energy	-6.87	eV/atom
ΔH_f (0 K)	191	kJ/mol of formula units

An optimized crystal structure of Zr2TcHg, computed with PBE.

Lattice parameters (Å, degrees): 4.760 3.487 4.759 90.01 90.00 90.00
Element x y z (fractional)
Hg 0.000 0.625 0.375
Tc 0.500 0.625 0.875
Zr 0.000 0.125 0.875
Zr 0.500 0.125 0.375

Values from the calculation:
D(E_F)	3.46	states/eV/cell
energy	-7.12	eV/atom
ΔH_f (0 K)	-69	kJ/mol of formula units

An optimized crystal structure of ZrTc2Hg, computed with PBE.

Lattice parameters (Å, degrees): 3.388 3.388 6.199 90.00 90.00 90.00
Element x y z (fractional)
Hg 0.500 0.500 0.750
Tc 0.000 0.000 0.017
Tc 0.000 0.000 0.483
Zr 0.500 0.500 0.250

Values from the calculation:
D(E_F)	3.85	states/eV/cell
energy	-7.15	eV/atom
ΔH_f (0 K)	93	kJ/mol of formula units

An optimized crystal structure of ZrTc2Hg, computed with PBE.

Lattice parameters (Å, degrees): 5.350 5.350 4.498 65.15 65.15 37.95
Element x y z (fractional)
Hg 0.258 0.258 0.242
Tc 0.021 0.021 0.979
Tc 0.735 0.735 0.765
Zr 0.485 0.485 0.515

Values from the calculation:
D(E_F)	2.26	states/eV/cell
energy	-7.27	eV/atom
ΔH_f (0 K)	48	kJ/mol of formula units

An optimized crystal structure of ZrTcHg4, computed with PBE.

Lattice parameters (Å, degrees): 5.612 5.612 5.612 60.00 60.00 60.00
Site moments in Bohr magnetons follow the coordinates.
Element x y z (fractional)
Zr 0.000 0.000 0.000  -0.35
Tc 0.750 0.750 0.750  1.30
Hg 0.874 0.375 0.375  -0.01
Hg 0.375 0.375 0.874  -0.01
Hg 0.375 0.874 0.375  -0.01
Hg 0.375 0.375 0.375  -0.01

Values from the calculation:
D(E_F)	2.40	states/eV/cell
energy	-2.87	eV/atom
ΔH_f (0 K)	283	kJ/mol of formula units